VASP calculation (PBE) on crystalline Tl2Te2S at its relaxed geometry.

abc: 7.745 7.745 5.215
angles: 90.00 90.00 90.00
Fractional coordinates of all 10 atoms:
Tl  0.151  0.349  0.000
Tl  0.349  0.849  0.000
Tl  0.651  0.151  0.000
Tl  0.849  0.651  0.000
Te  0.176  0.676  0.500
Te  0.324  0.176  0.500
Te  0.676  0.824  0.500
Te  0.824  0.324  0.500
S  0.000  0.000  0.500
S  0.500  0.500  0.500

Raw formation energy in meV/atom: -1
Density of states at the Fermi level in states/eV/atom: 0.332
Volume in Å³/f.u.: 156
Space group: P4/mbm (127)
Total energy in eV/cell: -30.3